The following is a DFT calculation (PBE-GGA) of crystalline YNiHg at its relaxed geometry.

## Properties
The calculation puts the energy at -82.84 eV/cell.

Cell lengths 12.8082, 3.8191, 7.4893 Å; angles 90.00, 90.00, 90.00 degrees
With the nearest neighbours (Å) after each atom.
Atoms (fractional coordinates):
Y1 0.0483 0.0000 0.2353  5 Ni 2.90-3.00, 4 Hg 3.19-3.24
Y2 0.2500 0.0000 0.8410  5 Ni 2.93-3.00, 6 Hg 3.19-3.24
Y3 0.4517 0.0000 0.2353  5 Ni 2.90-3.00, 4 Hg 3.19-3.24
Y4 0.5483 0.0000 0.7647  5 Ni 2.90-3.00, 4 Hg 3.19-3.24
Y5 0.7500 0.0000 0.1590  5 Ni 2.93-3.00, 6 Hg 3.19-3.24
Y6 0.9517 0.0000 0.7647  5 Ni 2.90-3.00, 4 Hg 3.19-3.24
Ni1 0.0867 0.5000 0.9433  1 Ni 2.38
Ni2 0.2500 0.0000 0.4401  6 Hg 2.71-2.74, 3 Y 3.00
Ni3 0.4133 0.5000 0.9433  1 Ni 2.38
Ni4 0.5867 0.5000 0.0567  1 Ni 2.38
Ni5 0.7500 0.0000 0.5599  6 Hg 2.71-2.74, 3 Y 3.00
Ni6 0.9133 0.5000 0.0567  1 Ni 2.38
Hg1 0.1178 0.5000 0.5749  3 Ni 2.74-2.79
Hg2 0.2500 0.5000 0.1825  4 Ni 2.71-2.75
Hg3 0.3822 0.5000 0.5749  3 Ni 2.74-2.79
Hg4 0.6178 0.5000 0.4251  3 Ni 2.74-2.79
Hg5 0.7500 0.5000 0.8175  4 Ni 2.71-2.75
Hg6 0.8822 0.5000 0.4251  3 Ni 2.74-2.79

***

The following is a DFT calculation (PBE-GGA) of crystalline K2NbCd2O6 at its relaxed geometry.

## Properties
The calculation puts the uncorrected formation energy at -1.58 eV/atom.

Cell lengths 5.7140, 5.7140, 6.7045 Å; angles 100.44, 100.44, 117.08 degrees
With the nearest neighbours (Å) after each atom.
Atoms (fractional coordinates):
K1 0.1753 0.8247 0.0000  6 O 2.75-2.81
K2 0.8247 0.1753 0.0000  6 O 2.75-2.81
Nb1 0.0000 0.0000 0.5000  6 O 2.03-2.07
Cd1 0.3360 0.6640 0.5000  6 O 2.28-2.52
Cd2 0.6640 0.3360 0.5000  6 O 2.28-2.52
O1 0.0507 0.3510 0.6875  1 Nb 2.03
O2 0.2299 0.2299 0.3292  1 Nb 2.07, 2 Cd 2.28
O3 0.3510 0.0507 0.6875  1 Nb 2.03
O4 0.6490 0.9493 0.3125  1 Nb 2.03
O5 0.7701 0.7701 0.6708  1 Nb 2.07, 2 Cd 2.28
O6 0.9493 0.6490 0.3125  1 Nb 2.03

***

The following is a DFT calculation (PBE-GGA) of crystalline Sb2Te4Pb at its relaxed geometry.

## Properties
The calculation puts the uncorrected formation energy at -0.15 eV/atom. For the energy above the most stable polymorph in this dataset, the calculation gives 49 meV per atom.

Cell lengths 7.5876, 7.5876, 15.1991 Å; angles 90.00, 90.00, 146.36 degrees
With the nearest neighbours (Å) after each atom.
Atoms (fractional coordinates):
Sb1 0.1405 0.8595 0.5597  6 Te 3.01-3.13
Sb2 0.1405 0.8595 0.9403  6 Te 3.01-3.13
Sb3 0.8595 0.1405 0.0597  6 Te 3.01-3.13
Sb4 0.8595 0.1405 0.4403  6 Te 3.01-3.13
Te1 0.0610 0.9390 0.7500  2 Pb 3.05, 2 Sb 3.11
Te2 0.2278 0.7722 0.1202  3 Sb 3.01-3.05
Te3 0.2278 0.7722 0.3798  3 Sb 3.01-3.05
Te4 0.5000 0.5000 0.0000  4 Sb 3.13
Te5 0.5000 0.5000 0.5000  4 Sb 3.13
Te6 0.7722 0.2278 0.6202  3 Sb 3.01-3.05
Te7 0.7722 0.2278 0.8798  3 Sb 3.01-3.05
Te8 0.9390 0.0610 0.2500  2 Pb 3.05, 2 Sb 3.11
Pb1 0.4148 0.5852 0.7500  2 Te 3.05
Pb2 0.5852 0.4148 0.2500  2 Te 3.05

***

The following is a DFT calculation (PBE-GGA) of crystalline Er2HfSe2N2 at its relaxed geometry.

## Properties
The calculation puts the uncorrected formation energy at -1.64 eV/atom.

Cell lengths 7.9279, 7.9279, 7.9279 Å; angles 149.54, 149.54, 43.62 degrees
With the nearest neighbours (Å) after each atom.
Atoms (fractional coordinates):
Er1 0.1099 0.1099 0.0000  4 N 2.64
Er2 0.8901 0.8901 0.0000  4 N 2.64
Hf1 0.5000 0.5000 0.0000  4 N 2.08
Se1 0.3166 0.3166 0.0000  1 Hf 2.70
Se2 0.6834 0.6834 0.0000  1 Hf 2.70
N1 0.0000 0.5000 0.5000  2 Hf 2.08
N2 0.5000 0.0000 0.5000  2 Hf 2.08

***

The following is a DFT calculation (PBE-GGA) of crystalline Al2FeGeS at its relaxed geometry.

## Properties
The calculation puts the uncorrected formation energy at 0.16 eV/atom.

Cell lengths 4.5728, 4.5728, 4.4076 Å; angles 90.00, 90.00, 90.00 degrees
With the nearest neighbours (Å) after each atom.
Atoms (fractional coordinates):
Al1 0.0000 0.5000 0.0000  2 Fe 2.29
Al2 0.5000 0.0000 0.0000  2 Fe 2.29
Fe1 0.0000 0.0000 0.0000  2 Ge 2.20, 4 Al 2.29
Ge1 0.0000 0.0000 0.5000  2 Fe 2.20
S1 0.5000 0.5000 0.5000  8 Al 3.18, 4 Ge 3.23

***

The following is a DFT calculation (PBE-GGA) of crystalline TbDy2Cu2Ge2 at its relaxed geometry.

## Properties
The calculation puts the energy at -34.75 eV/cell.

Cell lengths 10.3596, 10.3596, 10.3596 Å; angles 23.42, 23.42, 23.42 degrees
With the nearest neighbours (Å) after each atom.
Atoms (fractional coordinates):
Tb1 0.0000 0.0000 0.0000  6 Cu 3.04, 6 Ge 3.10
Dy1 0.1221 0.1221 0.1221  3 Ge 3.00, 3 Cu 3.05
Dy2 0.8779 0.8779 0.8779  3 Ge 3.00, 3 Cu 3.05
Cu1 0.3941 0.3941 0.3941  3 Ge 2.43
Cu2 0.6059 0.6059 0.6059  3 Ge 2.43
Ge1 0.2694 0.2694 0.2694  3 Cu 2.43
Ge2 0.7306 0.7306 0.7306  3 Cu 2.43

***

| no. | volume (Å³ per atom) |
| --- | --- |
| 1 | 20.352 |
| 2 | 16.616 |
| 3 | 34.627 |
| 4 | 18.244 |
| 5 | 18.433 |
| 6 | 22.033 |